[1]
DFT (PBE) results for a geometry-optimized K4H5Rh structure.

Unit cell a=6.4691 b=6.4691 c=6.4691 alpha=101.24 beta=101.24 gamma=127.60
Sites, in units of the cell vectors:
K (0.1198, 0.7235, 0.8433)
K (0.2765, 0.1198, 0.3963)
K (0.7235, 0.8802, 0.6037)
K (0.8802, 0.2765, 0.1567)
H (0.1769, 0.1769, 0.0000)
H (0.2952, 0.4458, 0.7462)
H (0.4458, 0.6996, 0.1505)
H (0.5491, 0.2952, 0.8495)
H (0.6996, 0.5491, 0.2538)
Rh (0.4739, 0.4739, 0.0000)

Output
Space group   I4 (79)
Total energy   -30.07 eV for the cell shown

[2]
DFT (PBE) results for a geometry-optimized KH3Rh structure.

Unit cell a=3.5781 b=5.8184 c=5.4083 alpha=90.00 beta=90.00 gamma=90.00
Sites, in units of the cell vectors:
K (0.0008, 0.2500, 0.4983)
K (0.9992, 0.7500, 0.5017)
H (0.0002, 0.2500, 0.9984)
H (0.9998, 0.7500, 0.0016)
H (0.5002, 0.0003, 0.1945)
H (0.4998, 0.9997, 0.8055)
H (0.5002, 0.4997, 0.1945)
H (0.4998, 0.5003, 0.8055)
Rh (0.5001, 0.2500, 0.9991)
Rh (0.4999, 0.7500, 0.0009)

Output
Space group   P2_1/m (11)
Total energy   -38.47 eV for the cell shown

[3]
DFT (PBE) results for a geometry-optimized KH3Rh structure.

Unit cell a=6.4125 b=6.4125 c=7.1308 alpha=90.00 beta=90.00 gamma=120.00
Sites, in units of the cell vectors:
K (0.0000, 0.0000, 0.0000)
K (0.3333, 0.6667, 0.6667)
K (0.6667, 0.3333, 0.3333)
H (0.2180, 0.1090, 0.3469)
H (0.2244, 0.4487, 0.0136)
H (0.2244, 0.7756, 0.0136)
H (0.5513, 0.7756, 0.0136)
H (0.5577, 0.1154, 0.6802)
H (0.5577, 0.4423, 0.6802)
H (0.8846, 0.4423, 0.6802)
H (0.8910, 0.1090, 0.3469)
H (0.8910, 0.7820, 0.3469)
Rh (0.0000, 0.0000, 0.4850)
Rh (0.3333, 0.6667, 0.1517)
Rh (0.6667, 0.3333, 0.8184)

Output
Space group   R3m (160)
Total energy   -51.85 eV for the cell shown

[4]
DFT (PBE) results for a geometry-optimized KH3Rh structure.

Unit cell a=4.1740 b=4.1740 c=4.1740 alpha=90.00 beta=90.00 gamma=90.00
Sites, in units of the cell vectors:
K (0.0000, 0.0000, 0.0000)
H (0.0000, 0.0000, 0.5000)
H (0.0000, 0.5000, 0.0000)
H (0.5000, 0.0000, 0.0000)
Rh (0.5000, 0.5000, 0.5000)

Output
Space group   Pm-3m (221)
Total energy   -10.66 eV for the cell shown

Repeat the first record exactly.
DFT (PBE) results for a geometry-optimized K4H5Rh structure.

Unit cell a=6.4691 b=6.4691 c=6.4691 alpha=101.24 beta=101.24 gamma=127.60
Sites, in units of the cell vectors:
K (0.1198, 0.7235, 0.8433)
K (0.2765, 0.1198, 0.3963)
K (0.7235, 0.8802, 0.6037)
K (0.8802, 0.2765, 0.1567)
H (0.1769, 0.1769, 0.0000)
H (0.2952, 0.4458, 0.7462)
H (0.4458, 0.6996, 0.1505)
H (0.5491, 0.2952, 0.8495)
H (0.6996, 0.5491, 0.2538)
Rh (0.4739, 0.4739, 0.0000)

Output
Space group   I4 (79)
Total energy   -30.07 eV for the cell shown

Among the records above, which one has the highest total energy?
number 4